No. 1
Compound: Ba3GaCl
Source: the Alexandria database
Functional: GGA-PBEsol
Structure: optimized geometry

Output
E_form (uncorrected): -0.628 eV/atom
Spin magnetization: 0.00 μB per formula unit
E: -2.9873 eV per atom

abc: 5.8770 5.8770 5.8770
angles: 90.00 90.00 90.00
Positions (direct):
Ba: 0.0000 0.0000 0.5000
Ba: 0.0000 0.5000 0.0000
Ba: 0.5000 0.0000 0.0000
Ga: 0.5000 0.5000 0.5000
Cl: 0.0000 0.0000 0.0000

---

No. 2
Compound: Na2Sn3Au
Source: the Alexandria database
Functional: GGA-PBEsol
Structure: optimized geometry

Output
Calculated formation energy: -275.8 meV/atom
Spin magnetization: 0.00 μB per formula unit
E: -3.5260 eV per atom

abc: 9.6085 9.6085 7.4865
angles: 90.00 90.00 120.00
Positions (direct):
Na: 0.0000 0.0000 0.2500
Na: 0.0000 0.0000 0.7500
Na: 0.0658 0.5329 0.2500
Na: 0.4671 0.5329 0.2500
Na: 0.4671 0.9342 0.2500
Na: 0.5329 0.0658 0.7500
Na: 0.5329 0.4671 0.7500
Na: 0.9342 0.4671 0.7500
Sn: 0.1712 0.3423 0.5530
Sn: 0.1712 0.3423 0.9470
Sn: 0.1712 0.8288 0.5530
Sn: 0.1712 0.8288 0.9470
Sn: 0.3423 0.1712 0.0530
Sn: 0.3423 0.1712 0.4470
Sn: 0.6577 0.8288 0.5530
Sn: 0.6577 0.8288 0.9470
Sn: 0.8288 0.1712 0.0530
Sn: 0.8288 0.1712 0.4470
Sn: 0.8288 0.6577 0.0530
Sn: 0.8288 0.6577 0.4470
Au: 0.3333 0.6667 0.5462
Au: 0.3333 0.6667 0.9538
Au: 0.6667 0.3333 0.0462
Au: 0.6667 0.3333 0.4538

---

No. 3
Compound: YFe2Ir
Source: the Alexandria database
Functional: GGA-PBEsol
Structure: optimized geometry

Output
Calculated formation energy: 67.4 meV/atom
Spin magnetization: 5.53 μB per formula unit
E: -8.5758 eV per atom

abc: 3.8416 3.8416 4.2069
angles: 90.00 90.00 90.00
Positions (direct):
Y: 0.0000 0.0000 0.0000
Fe: 0.0000 0.5000 0.5000
Fe: 0.5000 0.0000 0.5000
Ir: 0.5000 0.5000 0.0000

---

No. 4
Compound: TaCoIr
Source: the Alexandria database
Functional: GGA-PBEsol
Structure: optimized geometry

Output
Calculated formation energy: -491.4 meV/atom
Spin magnetization: 0.00 μB per formula unit
E: -10.5286 eV per atom

abc: 4.2182 4.2182 5.3087
angles: 90.00 90.00 120.00
Positions (direct):
Ta: 0.3333 0.6667 0.2500
Ta: 0.6667 0.3333 0.7500
Co: 0.3333 0.6667 0.7500
Co: 0.6667 0.3333 0.2500
Ir: 0.0000 0.0000 0.0000
Ir: 0.0000 0.0000 0.5000